# AlCuPt2

A geometry-optimized AlCuPt2 structure (GGA-PBE, OQMD).

Lattice parameters (Å, degrees): 4.0000 4.0000 3.5269 90.00 90.00 90.00
Space group P4/mmm (No. 123)
One atom of each set of equivalent atoms:
Al 0.0000 0.0000 0.0000 x1
Cu 0.5000 0.5000 0.0000 x1
Pt 0.0000 0.5000 0.5000 x2

The value obtained for the uncorrected energy is -5.600 eV per atom. The magnetic moment is 0.000 μB/atom.